No. 1
A relaxed structure of SiOsBrCl2. Source: Alexandria, functional PBE.

Calculated values
ΔE_f (raw), meV/atom: 315

Cell and atoms, written as POSCAR:
```
SiOsBrCl2
1.0
-1.838 -2.081 3.777
0.394 -4.412 -2.240
4.296 -0.530 1.799
Si Cl Os Br
1 2 1 1
direct
0.000 0.500 0.000
0.000 0.000 0.500
0.500 0.000 0.000
0.000 0.000 0.000
0.500 0.500 0.500
```

***

No. 2
A relaxed structure of SnOsBrCl2. Source: Alexandria, functional PBE.

Calculated values
ΔE_f (raw), meV/atom: 845

Cell and atoms, written as POSCAR:
```
SnOsBrCl2
1.0
-0.815 -4.906 -2.084
5.362 0.034 -2.175
1.856 -2.238 4.541
Os Cl Sn Br
1 2 1 1
direct
0.500 0.500 0.500
0.500 0.000 0.000
0.000 0.000 0.500
0.000 0.000 0.000
0.000 0.500 0.000
```

***

- What is the ΔE_f (raw) in the first record?
  315 meV/atom

***

- What is the formula in the second record?
  SnOsBrCl2